The following is a PBE calculation of a relaxed Hg6SeF12 crystal, from Alexandria via LeMat-Bulk.

Cell and atoms, written as POSCAR:
```
Hg6SeF12
1.0
7.360 0.008 1.294
1.087 7.279 1.294
0.009 0.008 7.472
Hg Se F
6 1 12
direct
0.255 0.745 0.255 Hg
0.255 0.745 0.745 Hg
0.745 0.745 0.255 Hg
0.745 0.255 0.745 Hg
0.745 0.255 0.255 Hg
0.255 0.255 0.745 Hg
0.000 0.000 0.000 Se
0.586 0.161 0.586 F
0.161 0.586 0.586 F
0.586 0.586 0.161 F
0.414 0.839 0.414 F
0.839 0.414 0.414 F
0.414 0.414 0.839 F
0.623 0.108 0.108 F
0.892 0.377 0.892 F
0.892 0.892 0.377 F
0.377 0.892 0.892 F
0.108 0.623 0.108 F
0.108 0.108 0.623 F
```

Summary:
**Formation energy without anion corrections**: -1.149 eV/atom
**Final energy**: -2.61 eV per atom
**Crystal system**: trigonal
**Volume**: 400.08 Å³ per cell
**Density of states at the Fermi level**: 0.1 states/eV per cell